Below is MgZrSb2 at its PBEsol-relaxed geometry, with properties calculated at the meta-GGA SCAN level.

Properties
DFT total energy   -27.998 eV/atom
Formation energy (no corrections)   -449.4 meV per atom
Volume   23.252 Å³ per atom

```
data_MgZrSb2
_chemical_formula_sum 'Mg2 Zr2 Sb4'
_symmetry_space_group_name_H-M 'C 1 m 1'
_symmetry_Int_Tables_number 8
_cell_length_a 11.098
_cell_length_b 3.869
_cell_length_c 4.362
_cell_angle_alpha 90.00
_cell_angle_beta 96.68
_cell_angle_gamma 90.00
loop_
_symmetry_equiv_pos_as_xyz
'x,y,z'
'x,-y,z'
'x+1/2,y+1/2,z'
'x+1/2,-y+1/2,z'
loop_
_atom_site_label
_atom_site_type_symbol
_atom_site_fract_x
_atom_site_fract_y
_atom_site_fract_z
Mg1 Mg 0.000 0.000 0.000
Zr1 Zr 0.300 0.500 0.440
Sb1 Sb 0.014 0.500 0.495
Sb2 Sb 0.250 0.000 0.923
```

---

Below is Mg3Sc5 at its PBEsol-relaxed geometry, with properties calculated at the meta-GGA SCAN level.

Properties
DFT total energy   -10.760 eV/atom
Volume   23.034 Å³ per atom

```
data_Mg3Sc5
_chemical_formula_sum 'Mg6 Sc10'
_symmetry_space_group_name_H-M 'C m m m'
_symmetry_Int_Tables_number 65
_symmetry_space_group_name_Hall '-C 2 2'
_cell_length_a 7.990
_cell_length_b 9.602
_cell_length_c 4.804
_cell_angle_alpha 90.00
_cell_angle_beta 90.00
_cell_angle_gamma 90.00
loop_
_atom_site_label
_atom_site_type_symbol
_atom_site_fract_x
_atom_site_fract_y
_atom_site_fract_z
Mg1 Mg 0.000 0.000 0.000
Mg2 Mg 0.000 0.259 0.500
Sc1 Sc 0.000 0.500 0.000
Sc2 Sc 0.242 0.000 0.500
Sc3 Sc 0.250 0.250 0.000
```